SrReO3 after structural relaxation, computed with GGA-PBEsol.

Its size of the total moment is 0.0 μB/f.u. The formation energy (no corrections) is -197 kJ per mole of atoms.

The structure belongs to space group Pm-3m (No. 221); the cell edges are 3.9492, 3.9492 and 3.9492 Å and the angles 90.00°, 90.00° and 90.00°. The asymmetric unit holds Sr at (0.0000, 0.0000, 0.0000), Re at (0.5000, 0.5000, 0.5000) and O at (0.0000, 0.5000, 0.5000).